Entry 1:
Li2MoSe: relaxed, PBE.

Lattice parameters (Å, degrees): 4.326 4.326 4.326 60.00 60.00 60.00
Atoms (fractional coordinates):
Li  0.000  0.000  0.000
Li  0.250  0.250  0.250
Mo  0.500  0.500  0.500
Se  0.750  0.750  0.750

Summary:
Formation energy (no corrections) (eV/atom): 0.153
Raw total energy (eV per atom): -4.383



Entry 2:
ZnTcW: relaxed, PBE.

Lattice parameters (Å, degrees): 4.722 4.722 4.722 146.11 129.65 62.09
Atoms (fractional coordinates):
Tc  0.002  0.002  0.000
W  0.333  0.333  0.000
Zn  0.665  0.665  0.000

Summary:
Energy relative to the elements (eV/f.u.): 0.48
Raw total energy (eV per atom): -8.037
Energy relative to the lowest polymorph listed for this composition (meV per atom): 87.1



Entry 3:
RbGaGe: relaxed, PBE.

Lattice parameters (Å, degrees): 4.368 6.170 7.397 93.74 74.43 70.64
Atoms (fractional coordinates):
Ge  0.114  0.002  0.965
Ge  0.474  0.596  0.745
Ga  0.577  0.184  0.846
Ga  0.940  0.778  0.634
Rb  0.754  0.602  0.146
Rb  0.296  0.177  0.447

Summary:
Energy relative to the elements (eV/f.u.): -0.37
Raw total energy (eV per atom): -2.995



Entry 4:
PaCrPd2: relaxed, PBE.

Lattice parameters (Å, degrees): 4.226 4.058 4.058 90.00 90.00 90.00
Atoms (fractional coordinates):
Cr  0.500  0.000  0.000
Pa  0.500  0.500  0.500
Pd  0.000  0.000  0.500
Pd  0.000  0.500  0.000

Summary:
Energy relative to the elements (eV/f.u.): -1.20
Raw total energy (eV per atom): -7.675



Entry 5:
Na2YSe2: relaxed, PBE.

Lattice parameters (Å, degrees): 7.787 7.787 4.238 90.00 90.00 90.00
Atoms (fractional coordinates):
Y  0.000  0.000  0.000
Y  0.500  0.500  0.000
Na  0.135  0.635  0.500
Na  0.635  0.865  0.500
Na  0.865  0.365  0.500
Na  0.365  0.135  0.500
Se  0.323  0.823  0.000
Se  0.823  0.677  0.000
Se  0.677  0.177  0.000
Se  0.177  0.323  0.000

Summary:
Formation energy (no corrections) (eV/atom): -1.144
Raw total energy (eV per atom): -4.358



Entry 6:
LiPaRuO4: relaxed, PBE.

Lattice parameters (Å, degrees): 6.452 6.155 7.115 125.31 90.00 121.61
Atoms (fractional coordinates):
Li  0.911  0.822  0.161
Li  0.089  0.178  0.839
Pa  0.500  0.000  0.500
Pa  0.500  0.000  0.000
Ru  0.500  0.500  0.500
Ru  0.000  0.500  0.500
O  0.780  0.560  0.727
O  0.262  0.950  0.225
O  0.688  0.950  0.225
O  0.780  0.560  0.333
O  0.220  0.440  0.667
O  0.738  0.050  0.775
O  0.312  0.050  0.775
O  0.220  0.440  0.273

Summary:
Formation energy (no corrections) (eV/atom): -2.289
Raw total energy (eV per atom): -8.077